## Ga2OsAuCl (GGA-PBE)

Data for a relaxed Ga2OsAuCl crystal.

Summary:
- formation energy without anion corrections (eV/atom) = 1.26
- total magnetic moment (μB per cell) = 2.94

a b c (Å): 5.0211 5.0211 4.9372
angles (deg): 90.00 90.00 90.00
Last column: nearest neighbours and their distance in Å.
Space group P4/mmm (No. 123)
Asymmetric unit:
Ga 0.0000 0.5000 0.0000  2 Au 2.51
Os 0.0000 0.0000 0.5000  8 Ga 3.52, 4 Cl 3.55
Au 0.5000 0.5000 0.0000  2 Cl 2.47, 4 Ga 2.51
Cl 0.5000 0.5000 0.5000  2 Au 2.47

---

## GaOs2AuCl (GGA-PBE)

Data for a relaxed GaOs2AuCl crystal.

Summary:
- formation energy without anion corrections (eV/atom) = 1.80
- total magnetic moment (μB per cell) = 4.27

a b c (Å): 4.7179 4.7179 4.7352
angles (deg): 90.00 90.00 90.00
Last column: nearest neighbours and their distance in Å.
Space group P4/mmm (No. 123)
Asymmetric unit:
Ga 0.0000 0.0000 0.0000  4 Os 2.36, 2 Cl 2.37
Os 0.0000 0.5000 0.0000  2 Ga 2.36
Au 0.5000 0.5000 0.5000  4 Cl 3.34, 8 Os 3.34
Cl 0.0000 0.0000 0.5000  2 Ga 2.37

---

## GaP2AuCl (GGA-PBE)

Data for a relaxed GaP2AuCl crystal.

Summary:
- formation energy without anion corrections (eV/atom) = 0.74
- total magnetic moment (μB per cell) = 0.84

a b c (Å): 4.7844 4.7844 4.6833
angles (deg): 90.00 90.00 90.00
Last column: nearest neighbours and their distance in Å.
Space group P4/mmm (No. 123)
Asymmetric unit:
Ga 0.0000 0.0000 0.0000  2 Cl 2.34, 4 P 2.39
P 0.0000 0.5000 0.0000  2 Ga 2.39
Au 0.5000 0.5000 0.5000  8 P 3.35, 4 Cl 3.38
Cl 0.0000 0.0000 0.5000  2 Ga 2.34